# CrTc2Mo

A geometry-optimized CrTc2Mo structure (PBEsol, Alexandria via LeMat-Bulk).

Output
Its total energy is -10.99 eV per atom. The density of states at the Fermi level is 9.7 states/eV/cell. The formation energy is 141 meV/atom.

```
data_CrTc2Mo
_chemical_formula_sum 'Cr2 Tc4 Mo2'
_cell_length_a 3.027
_cell_length_b 4.313
_cell_length_c 8.413
_cell_angle_alpha 90.00
_cell_angle_beta 90.00
_cell_angle_gamma 90.00
_space_group_name_H-M_alt 'C m m m'
_space_group_IT_number 65
_space_group_name_Hall '-C 2 2'
loop_
_atom_site_label
_atom_site_type_symbol
_atom_site_fract_x
_atom_site_fract_y
_atom_site_fract_z
Cr1 Cr 0.000 0.000 0.000
Tc1 Tc 0.000 0.500 0.236
Mo1 Mo 0.000 0.000 0.500
```

=====

# CrTc2Mo

A geometry-optimized CrTc2Mo structure (PBEsol, Alexandria via LeMat-Bulk).

Output
Its total energy is -10.90 eV per atom. The density of states at the Fermi level is 4.5 states/eV/cell. The formation energy is 232 meV/atom.

```
data_CrTc2Mo
_chemical_formula_sum 'Cr1 Tc2 Mo1'
_cell_length_a 3.835
_cell_length_b 3.835
_cell_length_c 3.746
_cell_angle_alpha 90.00
_cell_angle_beta 90.00
_cell_angle_gamma 90.00
_space_group_name_H-M_alt 'P 4/m m m'
_space_group_IT_number 123
_space_group_name_Hall '-P 4 2'
loop_
_atom_site_label
_atom_site_type_symbol
_atom_site_fract_x
_atom_site_fract_y
_atom_site_fract_z
Cr1 Cr 0.000 0.000 0.000
Tc1 Tc 0.000 0.500 0.500
Mo1 Mo 0.500 0.500 0.000
```

=====

# CrTc2Mo

A geometry-optimized CrTc2Mo structure (PBEsol, Alexandria via LeMat-Bulk).

Output
Its total energy is -11.03 eV per atom. The density of states at the Fermi level is 4.0 states/eV/cell. The formation energy is 108 meV/atom.

```
data_CrTc2Mo
_chemical_formula_sum 'Cr1 Tc2 Mo1'
_cell_length_a 2.997
_cell_length_b 2.997
_cell_length_c 6.094
_cell_angle_alpha 90.00
_cell_angle_beta 90.00
_cell_angle_gamma 90.00
_space_group_name_H-M_alt 'P 4 m m'
_space_group_IT_number 99
loop_
_space_group_symop_operation_xyz
'x,y,z'
'-y,x,z'
'-x,-y,z'
'y,-x,z'
'-x,y,z'
'y,x,z'
'x,-y,z'
'-y,-x,z'
loop_
_atom_site_label
_atom_site_type_symbol
_atom_site_fract_x
_atom_site_fract_y
_atom_site_fract_z
Cr1 Cr 0.000 0.000 0.000
Tc1 Tc 0.000 0.000 0.497
Tc2 Tc 0.500 0.500 0.780
Mo1 Mo 0.500 0.500 0.247
```

=====

# CrTcMo2

A geometry-optimized CrTcMo2 structure (PBEsol, Alexandria via LeMat-Bulk).

Output
Its total energy is -11.17 eV per atom. The density of states at the Fermi level is 4.1 states/eV/cell. The formation energy is 94 meV/atom.

```
data_CrTcMo2
_chemical_formula_sum 'Cr1 Tc1 Mo2'
_cell_length_a 3.046
_cell_length_b 4.282
_cell_length_c 4.303
_cell_angle_alpha 90.00
_cell_angle_beta 90.00
_cell_angle_gamma 90.00
_space_group_name_H-M_alt 'P m m m'
_space_group_IT_number 47
loop_
_space_group_symop_operation_xyz
'x,y,z'
'-x,-y,-z'
'-x,-y,z'
'x,y,-z'
'x,-y,-z'
'-x,y,z'
'-x,y,-z'
'x,-y,z'
loop_
_atom_site_label
_atom_site_type_symbol
_atom_site_fract_x
_atom_site_fract_y
_atom_site_fract_z
Cr1 Cr 0.000 0.000 0.000
Tc1 Tc 0.500 0.000 0.500
Mo1 Mo 0.000 0.500 0.500
Mo2 Mo 0.500 0.500 0.000
```